No. 1
PmMgZnIn after structural relaxation, computed with PBE.

Cell: 7.2223 7.2223 7.2223 Å, 90.00 90.00 90.00°
Space group F-43m (No. 216)
Unique sites:
Pm  0.0000  0.0000  0.0000 [4 per cell]
Mg  0.0000  0.0000  0.5000 [4 per cell]
Zn  0.2500  0.2500  0.2500 [4 per cell]
In  0.2500  0.2500  0.7500 [4 per cell]

Results
- Crystal system: cubic
- ΔH_f (0 K): -319 meV per atom

---

No. 2
Pr2MgIn after structural relaxation, computed with PBE.

Cell: 3.5016 3.5016 36.3260 Å, 90.00 90.00 120.00°
Space group R-3m (No. 166, hexagonal axes)
Unique sites:
Pr  0.0000  0.0000  0.0913 [6 per cell]
Mg  0.0000  0.0000  0.5000 [3 per cell]
In  0.0000  0.0000  0.0000 [3 per cell]

Results
- Crystal system: trigonal
- ΔH_f (0 K): 94 meV per atom

---

No. 3
PrMgIn5 after structural relaxation, computed with PBE.

Cell: 5.0072 5.0072 7.5376 Å, 90.00 90.00 90.00°
Space group P4/mmm (No. 123)
Unique sites:
Pr  0.0000  0.0000  0.0000 [1 per cell]
Mg  0.0000  0.0000  0.5000 [1 per cell]
In  0.0000  0.5000  0.2931 [4 per cell]
In  0.5000  0.5000  0.0000 [1 per cell]

Results
- Crystal system: tetragonal
- ΔH_f (0 K): -246 meV per atom